# 1
TiIr3Rh | Alexandria via LeMat-Bulk | PBE | optimized geometry; ΔH_f (0 K) = 160.8 kJ/mol of atoms; offset from the most stable computed form = 1769 meV/atom
1.0
4.6700 0.0000 0.0000
0.0000 4.6700 0.0000
0.0000 0.0000 4.6700
Ir Rh Ti
3 1 1
Direct
0.0000 0.5000 0.0000
0.0000 0.0000 0.5000
0.5000 0.0000 0.0000
0.0000 0.0000 0.0000
0.5000 0.5000 0.5000



# 2
Cs4AsBr | Alexandria via LeMat-Bulk | PBE | optimized geometry; energy relative to the elements, uncorrected = -761 meV per atom
1.0
-7.2686 3.8086 -2.9844
-1.6434 -9.3025 -2.0886
0.9757 1.7455 9.7350
Cs As Br
8 2 2
Direct
0.9997 0.2620 0.9008
0.7563 0.6909 0.6413
0.4011 0.6388 0.9008
0.3851 0.9504 0.6413
0.6149 0.0496 0.3587
0.5989 0.3612 0.0992
0.2437 0.3091 0.3587
0.0003 0.7380 0.0992
0.3848 0.6348 0.2696
0.6152 0.3652 0.7304
0.2309 0.9809 0.9618
0.7691 0.0191 0.0382



# 3
HoSc3Ru2 | Alexandria via LeMat-Bulk | PBE | optimized geometry; ΔH_f (0 K) = -40.5 kJ/mol of atoms
1.0
3.2525 0.0000 0.0000
0.0000 3.2525 0.0000
0.0000 0.0000 11.4995
Ho Sc Ru
1 3 2
Direct
0.5000 0.5000 0.5000
0.0000 0.0000 0.0000
0.0000 0.0000 0.7298
0.0000 0.0000 0.2702
0.5000 0.5000 0.8562
0.5000 0.5000 0.1438



# 4
Nd2AlPd2Pt5 | Alexandria via LeMat-Bulk | PBE | optimized geometry; ΔH_f (0 K) = -76.7 kJ/mol of atoms
1.0
-1.2105 -3.3672 -1.9354
8.9043 -1.3106 -3.2893
2.0990 -5.2150 7.7603
Nd Al Pd Pt
4 2 4 10
Direct
0.0000 0.6710 0.1710
0.0000 0.3290 0.8290
0.0000 0.1710 0.3290
0.0000 0.8290 0.6710
0.0000 0.0000 0.0000
0.0000 0.5000 0.5000
0.0000 0.1292 0.6292
0.0000 0.8708 0.3708
0.0000 0.6292 0.8708
0.0000 0.3708 0.1292
0.5000 0.1975 0.0550
0.5000 0.8025 0.9450
0.5000 0.0550 0.8025
0.5000 0.6975 0.4450
0.5000 0.9450 0.1975
0.5000 0.3025 0.5550
0.5000 0.5550 0.6975
0.5000 0.4450 0.3025
0.5000 0.5000 0.0000
0.5000 0.0000 0.5000



# 5
SrAl2W | Alexandria via LeMat-Bulk | PBE | optimized geometry; ΔH_f (0 K) = 57.4 kJ/mol of atoms; offset from the most stable computed form = 446 meV/atom
1.0
5.1854 0.0000 0.0000
0.0000 5.1854 0.0000
0.0000 0.0000 2.8919
Sr Al W
1 2 1
Direct
0.5000 0.0000 0.5000
0.0000 0.0000 0.0000
0.5000 0.5000 0.0000
0.0000 0.5000 0.5000



# 6
Ba2CaBiRh | Alexandria via LeMat-Bulk | PBE | optimized geometry; ΔH_f (0 K) = -45.1 kJ/mol of atoms
1.0
5.9013 0.0000 0.0000
0.0000 5.9013 0.0000
0.0000 0.0000 5.4797
Ca Rh Bi Ba
1 1 1 2
Direct
0.0000 0.0000 0.5000
0.0000 0.0000 0.0000
0.5000 0.5000 0.5000
0.0000 0.5000 0.0000
0.5000 0.0000 0.0000



# 7
AlTl3Tc | Alexandria via LeMat-Bulk | PBE | optimized geometry; ΔH_f (0 K) = 63.5 kJ/mol of atoms; offset from the most stable computed form = 0 meV/atom
1.0
5.3314 0.0000 0.0000
0.0000 5.3314 0.0000
0.0000 0.0000 5.3314
Tl Tc Al
3 1 1
Direct
0.0000 0.5000 0.0000
0.0000 0.0000 0.5000
0.5000 0.0000 0.0000
0.0000 0.0000 0.0000
0.5000 0.5000 0.5000



# 8
Sn3Hg5Cl12 | Alexandria via LeMat-Bulk | PBE | optimized geometry; energy relative to the elements, uncorrected = -507 meV per atom
1.0
-3.1629 8.0625 -12.0346
-9.4157 -11.4170 0.9149
-1.3051 8.4647 12.1031
Sn Hg Cl
12 20 48
Direct
0.7500 0.3750 0.1250
0.8750 0.7500 0.1250
0.3750 0.7500 0.6250
0.2500 0.1250 0.3750
0.8750 0.1250 0.2500
0.3750 0.6250 0.2500
0.6250 0.3750 0.7500
0.1250 0.8750 0.7500
0.7500 0.8750 0.6250
0.6250 0.2500 0.3750
0.1250 0.2500 0.8750
0.2500 0.6250 0.8750
0.1250 0.3750 0.2500
0.0000 0.5000 0.0000
0.0000 0.0000 0.0000
0.3750 0.2500 0.1250
0.5000 0.0000 0.5000
0.5000 0.5000 0.0000
0.1250 0.7500 0.3750
0.7500 0.1250 0.8750
0.7500 0.6250 0.3750
0.3750 0.1250 0.7500
0.6250 0.8750 0.2500
0.5000 0.5000 0.5000
0.5000 0.0000 0.0000
0.0000 0.0000 0.5000
0.2500 0.3750 0.6250
0.2500 0.8750 0.1250
0.0000 0.5000 0.5000
0.8750 0.2500 0.6250
0.6250 0.7500 0.8750
0.8750 0.6250 0.7500
0.7387 0.1410 0.0481
0.3094 0.5481 0.4071
0.9519 0.3590 0.2613
0.5481 0.2387 0.1410
0.5977 0.7387 0.6906
0.9519 0.5929 0.1906
0.3094 0.7613 0.4023
0.0929 0.9023 0.1410
0.5929 0.9519 0.6906
0.7387 0.5977 0.1906
0.7613 0.4519 0.3590
0.8094 0.9071 0.0481
0.1410 0.7387 0.5481
0.3590 0.4071 0.0977
0.0977 0.9071 0.3590
0.4023 0.1410 0.5929
0.0977 0.1906 0.2387
0.4519 0.6906 0.0929
0.8094 0.9023 0.2613
0.1410 0.4023 0.0929
0.3590 0.9519 0.7613
0.5929 0.6410 0.4023
0.9071 0.8094 0.5481
0.7613 0.3094 0.9023
0.4071 0.3590 0.5977
0.0929 0.1906 0.4519
0.2387 0.6906 0.0977
0.1906 0.0977 0.7387
0.6410 0.0481 0.2387
0.8590 0.5977 0.9071
0.5481 0.3094 0.9071
0.5977 0.8590 0.4071
0.9023 0.8094 0.7613
0.9023 0.0929 0.6410
0.8590 0.2613 0.4519
0.1906 0.0929 0.9519
0.6410 0.5929 0.9023
0.4071 0.0481 0.3094
0.2613 0.4023 0.8094
0.2387 0.5481 0.6410
0.9071 0.0977 0.8590
0.6906 0.2387 0.5977
0.4519 0.7613 0.8590
0.0481 0.4071 0.8094
0.4023 0.2613 0.3094
0.0481 0.6410 0.7387
0.6906 0.4519 0.5929
0.2613 0.8590 0.9519